# AgSnWO6

AgSnWO6 after structural relaxation (GGA+U, Alexandria via LeMat-Bulk).

Output
Calculated volume   13.42 Å³ per atom
Space group   No. 163
N(E_F)   4.9 states/eV/f.u.
Calculated total energy   -6.171 eV per atom

Unit cell a=5.4024 b=5.4024 c=9.5593 alpha=90.00 beta=90.00 gamma=120.00
Positions (direct):
1 Ag 0.0000 0.0000 0.0000
2 Ag 0.0000 0.0000 0.5000
3 Sn 0.3333 0.6667 0.2500
4 Sn 0.6667 0.3333 0.7500
5 W 0.3333 0.6667 0.7500
6 W 0.6667 0.3333 0.2500
7 O 0.0177 0.3775 0.6374
8 O 0.0177 0.6402 0.8626
9 O 0.3598 0.3775 0.8626
10 O 0.3598 0.9823 0.6374
11 O 0.3775 0.0177 0.1374
12 O 0.3775 0.3598 0.3626
13 O 0.6225 0.6402 0.6374
14 O 0.6225 0.9823 0.8626
15 O 0.6402 0.0177 0.3626
16 O 0.6402 0.6225 0.1374
17 O 0.9823 0.3598 0.1374
18 O 0.9823 0.6225 0.3626